Density functional theory data (PBE) for an optimized crystal structure of LiPrMgZn.

Calculated values
Total DFT energy (no corrections) (eV/atom): -2.597
Symmetry: F-43m (216)

a b c (Å): 4.973 4.973 4.973
angles (deg): 60.00 60.00 60.00
Fractional positions:
Li1 0.000 0.000 0.000
Pr1 0.250 0.250 0.250
Mg1 0.750 0.750 0.750
Zn1 0.500 0.500 0.500

***

Density functional theory data (PBE) for an optimized crystal structure of SmTe3PbAu.

Calculated values
ΔE to the lowest computed polymorph (eV per atom): 0.000
Symmetry: Cmcm (63)

a b c (Å): 7.771 7.771 11.342
angles (deg): 90.00 90.00 147.58
Fractional positions:
Sm1 0.000 0.000 0.000
Sm2 0.000 0.000 0.500
Te1 0.093 0.907 0.750
Te2 0.352 0.648 0.557
Te3 0.352 0.648 0.943
Te4 0.648 0.352 0.057
Te5 0.648 0.352 0.443
Te6 0.907 0.093 0.250
Pb1 0.227 0.773 0.250
Pb2 0.773 0.227 0.750
Au1 0.469 0.531 0.750
Au2 0.531 0.469 0.250

***

Density functional theory data (PBE) for an optimized crystal structure of NaZnNiBi.

Calculated values
ΔE to the lowest computed polymorph (eV per atom): 0.070
Symmetry: F-43m (216)

a b c (Å): 4.785 4.785 4.785
angles (deg): 60.00 60.00 60.00
Fractional positions:
Na1 0.000 0.000 0.000
Zn1 0.750 0.750 0.750
Ni1 0.250 0.250 0.250
Bi1 0.500 0.500 0.500

***

Density functional theory data (PBE) for an optimized crystal structure of PmTc4B4.

Calculated values
Total DFT energy (no corrections) (eV/atom): -8.505
Symmetry: P4_2/n (86)

a b c (Å): 7.426 7.426 4.229
angles (deg): 90.00 90.00 90.00
Fractional positions:
Pm1 0.250 0.250 0.250
Pm2 0.750 0.750 0.750
Tc1 0.116 0.627 0.120
Tc2 0.127 0.884 0.620
Tc3 0.373 0.616 0.620
Tc4 0.384 0.873 0.120
Tc5 0.616 0.127 0.880
Tc6 0.627 0.384 0.380
Tc7 0.873 0.116 0.380
Tc8 0.884 0.373 0.880
B1 0.060 0.923 0.122
B2 0.077 0.560 0.622
B3 0.423 0.940 0.622
B4 0.440 0.577 0.122
B5 0.560 0.423 0.878
B6 0.577 0.060 0.378
B7 0.923 0.440 0.378
B8 0.940 0.077 0.878

***

Density functional theory data (PBE) for an optimized crystal structure of NaMgNiAs.

Calculated values
ΔE to the lowest computed polymorph (eV per atom): 0.000
Symmetry: F-43m (216)

a b c (Å): 4.494 4.494 4.494
angles (deg): 60.00 60.00 60.00
Fractional positions:
Na1 0.000 0.000 0.000
Mg1 0.250 0.250 0.250
Ni1 0.500 0.500 0.500
As1 0.750 0.750 0.750

***

Density functional theory data (PBE) for an optimized crystal structure of RbHg3PdO4.

Calculated values
Total DFT energy (no corrections) (eV/atom): -3.080
Symmetry: P-43m (215)

a b c (Å): 5.679 5.679 5.679
angles (deg): 90.00 90.00 90.00
Fractional positions:
Rb1 0.000 0.000 0.000
Hg1 0.000 0.500 0.500
Hg2 0.500 0.000 0.500
Hg3 0.500 0.500 0.000
Pd1 0.500 0.500 0.500
O1 0.270 0.270 0.270
O2 0.270 0.730 0.730
O3 0.730 0.270 0.730
O4 0.730 0.730 0.270

***

Density functional theory data (PBE) for an optimized crystal structure of Zr2PdPt.

Calculated values
Formation energy (eV/atom): -0.877
Symmetry: Amm2 (38)

a b c (Å): 4.349 5.483 5.483
angles (deg): 36.19 90.00 90.00
Fractional positions:
Zr1 0.000 0.000 0.000
Zr2 0.500 0.283 0.283
Pd1 0.000 0.732 0.732
Pt1 0.500 0.552 0.552

***

Density functional theory data (PBE) for an optimized crystal structure of NaPmNb.

Calculated values
ΔE to the lowest computed polymorph (eV per atom): 0.160
Symmetry: F-43m (216)

a b c (Å): 5.152 5.152 5.152
angles (deg): 60.00 60.00 60.00
Fractional positions:
Na1 0.000 0.000 0.000
Pm1 0.250 0.250 0.250
Nb1 0.500 0.500 0.500

***

Density functional theory data (PBE) for an optimized crystal structure of FeReBiIr.

Calculated values
ΔE to the lowest computed polymorph (eV per atom): 0.000
Symmetry: F-43m (216)

a b c (Å): 4.534 4.534 4.534
angles (deg): 60.00 60.00 60.00
Fractional positions:
Fe1 0.000 0.000 0.000
Re1 0.500 0.500 0.500
Bi1 0.750 0.750 0.750
Ir1 0.250 0.250 0.250

***

Density functional theory data (PBE) for an optimized crystal structure of SrPm.

Calculated values
ΔE to the lowest computed polymorph (eV per atom): 0.599
Symmetry: Fm-3m (225)

a b c (Å): 4.979 4.979 4.979
angles (deg): 60.00 60.00 60.00
Fractional positions:
Sr1 0.000 0.000 0.000
Pm1 0.500 0.500 0.500

***

Density functional theory data (PBE) for an optimized crystal structure of TmSnTe3Au.

Calculated values
ΔE to the lowest computed polymorph (eV per atom): 0.057
Symmetry: Pnma (62)

a b c (Å): 12.865 4.347 12.649
angles (deg): 90.00 90.00 90.00
Fractional positions:
Tm1 0.041 0.250 0.189
Tm2 0.459 0.750 0.689
Tm3 0.541 0.250 0.311
Tm4 0.959 0.750 0.811
Sn1 0.200 0.250 0.466
Sn2 0.300 0.750 0.966
Sn3 0.700 0.250 0.034
Sn4 0.800 0.750 0.534
Te1 0.023 0.750 0.362
Te2 0.087 0.250 0.933
Te3 0.226 0.750 0.670
Te4 0.274 0.250 0.170
Te5 0.413 0.750 0.433
Te6 0.477 0.250 0.862
Te7 0.523 0.750 0.138
Te8 0.587 0.250 0.567
Te9 0.726 0.750 0.830
Te10 0.774 0.250 0.330
Te11 0.913 0.750 0.067
Te12 0.977 0.250 0.638
Au1 0.232 0.750 0.308
Au2 0.268 0.250 0.808
Au3 0.732 0.750 0.192
Au4 0.768 0.250 0.692

***

Density functional theory data (PBE) for an optimized crystal structure of Si2Au.

Calculated values
ΔE to the lowest computed polymorph (eV per atom): 0.983
Symmetry: Fd-3m (227)

a b c (Å): 7.652 7.652 7.652
angles (deg): 60.00 60.00 60.00
Fractional positions:
Si1 0.000 0.000 0.000
Si2 0.000 0.000 0.500
Si3 0.000 0.500 0.000
Si4 0.500 0.000 0.000
Au1 0.125 0.125 0.125
Au2 0.875 0.875 0.875